The following is a DFT calculation (GGA+U) of a geometry-optimized Li3Cr10Fe5O24 structure.

Lattice parameters (Å, degrees): 10.331 5.968 14.546 90.00 90.02 90.00
Space group Cm (No. 8)
Inequivalent atoms, fractional coordinates:
Li1 0.000 0.000 0.000 x2
Li2 0.166 0.500 0.666 x2
Li3 0.333 0.000 0.333 x2
Cr1 0.000 0.000 0.371 x2
Cr2 0.004 0.500 0.876 x2
Cr3 0.081 0.245 0.207 x4
Cr4 0.170 0.000 0.542 x2
Cr5 0.247 0.257 0.876 x4
Cr6 0.333 0.000 0.706 x2
Cr7 0.414 0.245 0.542 x4
Fe1 0.000 0.000 0.750 x2
Fe2 0.165 0.500 0.038 x2
Fe3 0.166 0.500 0.415 x2
Fe4 0.332 0.000 0.082 x2
Fe5 0.338 0.500 0.208 x2
O1 0.000 0.000 0.135 x2
O2 0.000 0.000 0.616 x2
O3 0.010 0.500 0.124 x2
O4 0.078 0.235 0.459 x4
O5 0.092 0.277 0.956 x4
O6 0.151 0.000 0.286 x2
O7 0.165 0.500 0.282 x2
O8 0.167 0.500 0.804 x2
O9 0.177 0.000 0.795 x2
O10 0.242 0.267 0.123 x4
O11 0.258 0.225 0.621 x4
O12 0.315 0.500 0.956 x2
O13 0.332 0.000 0.950 x2
O14 0.333 0.000 0.470 x2
O15 0.342 0.500 0.459 x2
O16 0.411 0.235 0.795 x4
O17 0.424 0.271 0.287 x4
O18 0.483 0.000 0.621 x2

- Uncorrected energy: -605.3 eV for the cell shown
- V: 896.8 Å³ per cell
- Total moment: 29.020 μB per formula unit